{
  "formula": "Ca2GaSn3Rh4",
  "functional": "PBE",
  "state": "optimized geometry",
  "lattice": [[4.425, 0.000, 0.000], [0.000, 4.425, 0.000], [0.000, 0.000, 10.756]],
  "species": ["Ca", "Ca", "Ga", "Sn", "Sn", "Sn", "Rh", "Rh", "Rh", "Rh"],
  "frac_coords": [[0.000, 0.500, 0.248], [0.500, 0.000, 0.752], [0.000, 0.000, 0.500], [0.000, 0.500, 0.869], [0.500, 0.000, 0.131], [0.500, 0.500, 0.500], [0.000, 0.000, 0.000], [0.000, 0.500, 0.627], [0.500, 0.000, 0.373], [0.500, 0.500, 0.000]],
  "mass_density_g_cm3": 7.23,
  "sg": "No. 115",
  "e_form_kj_per_mol_atoms": -61.06
}